Record 1
Below is a geometry-optimized Na2LiOs structure, with properties calculated at the GGA-PBE level.

a b c (Å): 6.9203 6.9203 6.9203
angles (deg): 90.00 90.00 90.00
Last column: nearest neighbours and their distance in Å.
Space group Fm-3m (No. 225)
One atom of each set of equivalent atoms:
Na1 0.2500 0.2500 0.2500 (multiplicity 8)  4 Li 3.00, 4 Os 3.00
Li1 0.0000 0.0000 0.0000 (multiplicity 4)  8 Na 3.00
Os1 0.0000 0.0000 0.5000 (multiplicity 4)  8 Na 3.00

Offset from the most stable computed form ... 0.0000 eV per atom
Energy relative to the elements ... 1.10 eV/atom
DOS(E_F) ... 1.258 states/eV per atom

Record 2
Below is a geometry-optimized NaLiOs3 structure, with properties calculated at the GGA-PBE level.

a b c (Å): 4.2116 4.2116 4.2116
angles (deg): 90.00 90.00 90.00
Last column: nearest neighbours and their distance in Å.
Space group Pm-3m (No. 221)
One atom of each set of equivalent atoms:
Na1 0.0000 0.0000 0.0000 (multiplicity 1)  12 Os 2.98
Li1 0.5000 0.5000 0.5000 (multiplicity 1)  6 Os 2.11
Os1 0.0000 0.5000 0.5000 (multiplicity 3)  2 Li 2.11

Offset from the most stable computed form ... 0.0000 eV per atom
Energy relative to the elements ... 1.76 eV/atom
DOS(E_F) ... 1.309 states/eV per atom

Record 3
Below is a geometry-optimized Na2LiOs2 structure, with properties calculated at the GGA-PBE level.

a b c (Å): 8.9640 8.9640 2.5683
angles (deg): 90.00 90.00 90.00
Last column: nearest neighbours and their distance in Å.
Space group P4/mbm (No. 127)
One atom of each set of equivalent atoms:
Na1 0.1934 0.3066 0.0000 (multiplicity 4)  2 Na 2.57
Li1 0.0000 0.0000 0.0000 (multiplicity 2)  2 Li 2.57
Os1 0.0926 0.5926 0.5000 (multiplicity 4)  3 Os 2.35-2.57

Offset from the most stable computed form ... 0.1422 eV per atom
Energy relative to the elements ... 0.85 eV/atom
DOS(E_F) ... 0.457 states/eV per atom

Record 4
Below is a geometry-optimized NaLi2Os structure, with properties calculated at the GGA-PBE level.

a b c (Å): 6.3877 6.3877 6.3877
angles (deg): 90.00 90.00 90.00
Last column: nearest neighbours and their distance in Å.
Space group Fm-3m (No. 225)
One atom of each set of equivalent atoms:
Na1 0.0000 0.0000 0.0000 (multiplicity 4)  8 Li 2.77
Li1 0.2500 0.2500 0.2500 (multiplicity 8)  4 Na 2.77, 4 Os 2.77
Os1 0.0000 0.0000 0.5000 (multiplicity 4)  8 Li 2.77

Offset from the most stable computed form ... 0.0000 eV per atom
Energy relative to the elements ... 0.82 eV/atom
DOS(E_F) ... 0.862 states/eV per atom

Record 5
Below is a geometry-optimized Na2LiOs structure, with properties calculated at the GGA-PBE level.

a b c (Å): 7.7046 7.7046 5.3765
angles (deg): 90.00 90.00 90.00
Last column: nearest neighbours and their distance in Å.
Space group I-42d (No. 122)
One atom of each set of equivalent atoms:
Na1 0.2259 0.7500 0.1250 (multiplicity 8)  2 Li 2.68, 2 Na 2.71, 2 Os 2.94
Li1 0.0000 0.0000 0.0000 (multiplicity 4)  4 Na 2.68, 2 Os 2.69
Os1 0.0000 0.0000 0.5000 (multiplicity 4)  2 Li 2.69, 4 Na 2.94

Offset from the most stable computed form ... 0.0739 eV per atom
Energy relative to the elements ... 1.17 eV/atom
DOS(E_F) ... 1.217 states/eV per atom

Record 6
Below is a geometry-optimized NaLi2Os2 structure, with properties calculated at the GGA-PBE level.

a b c (Å): 8.1539 8.1539 2.4852
angles (deg): 90.00 90.00 90.00
Last column: nearest neighbours and their distance in Å.
Space group P4/mbm (No. 127)
One atom of each set of equivalent atoms:
Na1 0.0000 0.0000 0.0000 (multiplicity 2)  2 Na 2.49
Li1 0.1796 0.3204 0.0000 (multiplicity 4)  2 Li 2.49, 6 Os 2.71-2.76
Os1 0.1070 0.6070 0.5000 (multiplicity 4)  3 Os 2.47-2.49, 6 Li 2.71-2.76

Offset from the most stable computed form ... 0.0000 eV per atom
Energy relative to the elements ... 0.47 eV/atom
DOS(E_F) ... 0.811 states/eV per atom